# 1
# Yb2P7Rh12

An optimized crystal structure of Yb2P7Rh12 (PBE-GGA, the Alexandria database).

Output
The value obtained for the density of states at the Fermi level is 38.73 states/eV/cell. The calculation puts the final energy at -7.04 eV per atom.

abc: 9.5895 9.5895 3.8650
angles: 90.00 90.00 120.00
Closest atoms and distances in Å follow each position.
Element x y z (fractional)
Rh: 0.9365 0.5543 0.2490  4 P 2.34-2.56
Rh: 0.8494 0.1091 0.7494  4 P 2.33-2.51
Rh: 0.6178 0.0635 0.2490  4 P 2.34-2.56
Rh: 0.1506 0.8909 0.2506  4 P 2.33-2.51
Rh: 0.8909 0.7403 0.7494  4 P 2.33-2.51
Rh: 0.7403 0.8494 0.2506  4 P 2.33-2.51
Rh: 0.5543 0.6178 0.7510  4 P 2.34-2.56
Rh: 0.4457 0.3822 0.2490  4 P 2.34-2.56
Rh: 0.0635 0.4457 0.7510  4 P 2.34-2.56
Rh: 0.1091 0.2597 0.2506  4 P 2.33-2.51
Rh: 0.2597 0.1506 0.7494  4 P 2.33-2.51
Rh: 0.3822 0.9365 0.7510  4 P 2.34-2.56
P: 0.7127 0.5935 0.2457  7 Rh 2.33-2.56
P: 0.1192 0.7127 0.7543  7 Rh 2.33-2.56
P: 0.2873 0.4065 0.7543  7 Rh 2.33-2.56
P: 0.4065 0.1192 0.2457  7 Rh 2.33-2.56
P: 0.8808 0.2873 0.2457  7 Rh 2.33-2.56
P: 0.5935 0.8808 0.7543  7 Rh 2.33-2.56
P: 0.0000 0.0000 0.5000  6 Rh 2.37
Yb: 0.6667 0.3333 0.7484  6 P 3.00-3.02, 6 Rh 3.07
Yb: 0.3333 0.6667 0.2516  6 P 3.00-3.02, 6 Rh 3.07



# 2
# ZnPRh2

An optimized crystal structure of ZnPRh2 (PBE-GGA, the Alexandria database).

Output
The value obtained for the density of states at the Fermi level is 3.72 states/eV/cell. The calculation puts the final energy at -5.51 eV per atom. Its polymorph energy (0 for the lowest one) is 285 meV/atom.

abc: 4.9999 4.9999 4.9999
angles: 138.16 138.16 60.66
Closest atoms and distances in Å follow each position.
Element x y z (fractional)
Rh: 0.0000 0.0000 0.0000  4 Zn 2.53, 4 Rh 2.80, 4 P 2.80
Rh: 0.2500 0.7500 0.5000  4 P 2.53, 4 Rh 2.80, 4 Zn 2.80
Zn: 0.5000 0.5000 0.0000  8 Rh 2.53-2.80, 4 P 2.80
P: 0.7500 0.2500 0.5000  8 Rh 2.53-2.80, 4 Zn 2.80



# 3
# ZnPRh2

An optimized crystal structure of ZnPRh2 (PBE-GGA, the Alexandria database).

Output
The value obtained for the density of states at the Fermi level is 2.42 states/eV/cell. The calculation puts the final energy at -5.69 eV per atom. Its polymorph energy (0 for the lowest one) is 102 meV/atom.

abc: 4.1290 4.1290 3.1530
angles: 90.00 90.00 90.00
Closest atoms and distances in Å follow each position.
Element x y z (fractional)
Rh: 0.0000 0.5000 0.0000  4 Zn 2.60, 4 P 2.60
Rh: 0.5000 0.0000 0.0000  4 P 2.60, 4 Zn 2.60
Zn: 0.5000 0.5000 0.5000  8 Rh 2.60
P: 0.0000 0.0000 0.5000  8 Rh 2.60



# 4
# ZnPRh

An optimized crystal structure of ZnPRh (PBE-GGA, the Alexandria database).

Output
The value obtained for the density of states at the Fermi level is 0.89 states/eV/cell. The calculation puts the final energy at -4.95 eV per atom.

abc: 4.8504 4.8504 4.8504
angles: 141.94 141.94 54.91
Closest atoms and distances in Å follow each position.
Element x y z (fractional)
P: 0.9743 0.9743 0.0000  4 Rh 2.45, 1 Zn 2.65
Zn: 0.6666 0.6666 0.0000  5 Rh 2.65-2.78, 5 P 2.65-2.78
Rh: 0.3590 0.3590 0.0000  4 P 2.45, 1 Zn 2.65



# 5
# ZnPRh2

An optimized crystal structure of ZnPRh2 (PBE-GGA, the Alexandria database).

Output
The value obtained for the density of states at the Fermi level is 4.22 states/eV/cell. The calculation puts the final energy at -5.66 eV per atom. Its polymorph energy (0 for the lowest one) is 133 meV/atom.

abc: 4.2339 4.2339 4.2339
angles: 60.00 60.00 60.00
Closest atoms and distances in Å follow each position.
Element x y z (fractional)
Rh: 0.2500 0.2500 0.2500  4 Zn 2.59, 4 P 2.59
Rh: 0.7500 0.7500 0.7500  4 Zn 2.59, 4 P 2.59
Zn: 0.5000 0.5000 0.5000  8 Rh 2.59
P: 0.0000 0.0000 0.0000  8 Rh 2.59



# 6
# ZnPRh2

An optimized crystal structure of ZnPRh2 (PBE-GGA, the Alexandria database).

Output
The value obtained for the density of states at the Fermi level is 3.92 states/eV/cell. The calculation puts the final energy at -5.75 eV per atom. Its polymorph energy (0 for the lowest one) is 39 meV/atom.

abc: 7.7435 7.7435 7.7435
angles: 21.86 21.86 21.86
Closest atoms and distances in Å follow each position.
Element x y z (fractional)
Rh: 0.7404 0.7404 0.7404  3 P 2.38
Rh: 0.2596 0.2596 0.2596  3 P 2.38
P: 0.0000 0.0000 0.0000  6 Rh 2.38
Zn: 0.5000 0.5000 0.5000  6 Rh 2.70, 6 Zn 2.94



# 7
# ZnPRh

An optimized crystal structure of ZnPRh (PBE-GGA, the Alexandria database).

Output
The value obtained for the density of states at the Fermi level is 1.83 states/eV/cell. The calculation puts the final energy at -4.89 eV per atom.

abc: 4.0721 4.0721 4.0721
angles: 60.00 60.00 60.00
Closest atoms and distances in Å follow each position.
Element x y z (fractional)
Zn: 0.0000 0.0000 0.0000  4 Rh 2.49
P: 0.5000 0.5000 0.5000  4 Rh 2.49
Rh: 0.2500 0.2500 0.2500  4 Zn 2.49, 4 P 2.49



# 8
# ZnPRh2

An optimized crystal structure of ZnPRh2 (PBE-GGA, the Alexandria database).

Output
The value obtained for the density of states at the Fermi level is 3.16 states/eV/cell. The calculation puts the final energy at -5.72 eV per atom. Its polymorph energy (0 for the lowest one) is 71 meV/atom.

abc: 4.7394 4.7394 4.3760
angles: 74.93 74.93 35.90
Closest atoms and distances in Å follow each position.
Element x y z (fractional)
Rh: 0.7573 0.7573 0.7118  2 P 2.37, 3 Zn 2.50-2.63
Rh: 0.9769 0.9769 0.0887  3 P 2.42-2.59, 4 Zn 2.61-2.68
P: 0.2570 0.2570 0.1385  5 Rh 2.37-2.59
Zn: 0.5089 0.5089 0.5611  7 Rh 2.50-2.68



# 9
# Zn3PRh

An optimized crystal structure of Zn3PRh (PBE-GGA, the Alexandria database).

Output
The value obtained for the density of states at the Fermi level is 3.00 states/eV/cell. The calculation puts the final energy at -2.68 eV per atom. Its polymorph energy (0 for the lowest one) is 32 meV/atom.

abc: 4.4974 4.4974 4.4974
angles: 90.00 90.00 90.00
Closest atoms and distances in Å follow each position.
Element x y z (fractional)
Zn: 0.0000 0.5000 0.0000  2 P 2.25
Zn: 0.5000 0.0000 0.0000  2 P 2.25
Zn: 0.0000 0.0000 0.5000  2 P 2.25
Rh: 0.5000 0.5000 0.5000  12 Zn 3.18
P: 0.0000 0.0000 0.0000  6 Zn 2.25



# 10
# ZnPRh2

An optimized crystal structure of ZnPRh2 (PBE-GGA, the Alexandria database).

Output
The value obtained for the density of states at the Fermi level is 3.26 states/eV/cell. The calculation puts the final energy at -5.61 eV per atom. Its polymorph energy (0 for the lowest one) is 179 meV/atom.

abc: 3.3379 3.3379 5.0886
angles: 90.00 90.00 90.00
Closest atoms and distances in Å follow each position.
Element x y z (fractional)
Rh: 0.0000 0.0000 0.9496  4 P 2.48, 2 Zn 2.49-2.60
Rh: 0.5000 0.5000 0.2897  2 P 2.49-2.60, 4 Zn 2.52
P: 0.5000 0.5000 0.7997  6 Rh 2.48-2.60
Zn: 0.0000 0.0000 0.4610  6 Rh 2.49-2.60



# 11
# ZnPRh2

An optimized crystal structure of ZnPRh2 (PBE-GGA, the Alexandria database).

Output
The value obtained for the density of states at the Fermi level is 1.27 states/eV/cell. The calculation puts the final energy at -5.72 eV per atom. Its polymorph energy (0 for the lowest one) is 71 meV/atom.

abc: 3.7751 3.7751 5.7624
angles: 78.93 78.93 46.78
Closest atoms and distances in Å follow each position.
Element x y z (fractional)
P: 0.5000 0.5000 0.0000  6 Rh 2.36-2.38
Rh: 0.7579 0.7579 0.2093  3 P 2.36-2.38, 1 Zn 2.61
Rh: 0.2421 0.2421 0.7907  3 P 2.36-2.38, 1 Zn 2.61
Zn: 0.0000 0.0000 0.5000  6 Rh 2.61-2.64



# 12
# Zn2P2Rh

An optimized crystal structure of Zn2P2Rh (PBE-GGA, the Alexandria database).

Output
The value obtained for the density of states at the Fermi level is 3.03 states/eV/cell. The calculation puts the final energy at -3.78 eV per atom. Its polymorph energy (0 for the lowest one) is 527 meV/atom.

abc: 3.9404 3.9404 5.7505
angles: 69.96 69.96 90.00
Closest atoms and distances in Å follow each position.
Element x y z (fractional)
P: 0.3942 0.3942 0.2115  1 P 2.13
P: 0.6058 0.6058 0.7885  1 P 2.13
Zn: 0.2500 0.7500 0.5000  4 P 2.45
Zn: 0.7500 0.2500 0.5000  4 P 2.45
Rh: 0.0000 0.0000 0.0000  8 P 2.98, 8 Zn 3.19



Listing formation energy from the elements for the structures above in their given order: -0.89 -0.16 -0.34 -0.27 -0.31 -0.41 -0.22 -0.38 0.63 -0.27 -0.38 0.37 eV per atom.
Listing calculated volume for the structures above in their given order: 307.8 55.0 53.8 43.1 53.7 56.4 47.7 55.4 91.0 56.7 58.5 78.1 Å³ per cell.